VASP calculation (PBE) on a relaxed structure of RePtCl2.

Properties
**Relative energy among the computed polymorphs**: 0.549 eV/atom
**Energy relative to the elements, uncorrected**: 0.57 eV/atom

Cell: 2.9654 2.9654 10.6920 Å, 90.00 90.00 123.39°
Each line ends with the local moment (μB).
Atoms (fractional coordinates):
Re1 0.5000 0.5000 0.7500  0.25
Pt1 0.5000 0.5000 0.2500  0.35
Cl1 0.0000 0.0000 0.9319  0.01
Cl2 0.0000 0.0000 0.5681  0.01

---

VASP calculation (PBE) on a relaxed structure of Re2NiBr.

Properties
**Relative energy among the computed polymorphs**: 0.630 eV/atom
**Energy relative to the elements, uncorrected**: 1.10 eV/atom

Cell: 4.5852 4.5852 4.5852 Å, 126.45 126.45 79.15°
Atoms (fractional coordinates):
Br1 0.5000 0.5000 0.0000
Ni1 0.7500 0.2500 0.5000
Re1 0.0000 0.0000 0.0000
Re2 0.2500 0.7500 0.5000

---

VASP calculation (PBE) on a relaxed structure of Be2GaAu6.

Properties
**Energy relative to the elements**: -0.07 eV/atom
**Relative energy among the computed polymorphs**: 0.026 eV/atom

Cell: 4.5694 5.1942 7.1000 Å, 81.86 71.23 63.91°
Atoms (fractional coordinates):
Be1 0.2978 0.5980 0.8065
Be2 0.7022 0.4020 0.1935
Ga1 0.0000 0.5000 0.5000
Au1 0.6843 0.7295 0.9020
Au2 0.3157 0.2705 0.0980
Au3 0.9742 0.8654 0.1861
Au4 0.3752 0.8023 0.4474
Au5 0.0258 0.1346 0.8139
Au6 0.6248 0.1977 0.5526

---

VASP calculation (PBE) on a relaxed structure of Pr12Dy2Er.

Properties
**Energy relative to the elements**: 0.16 eV/atom

Cell: 6.8964 6.8964 25.1909 Å, 90.00 90.00 63.48°
Atoms (fractional coordinates):
Pr1 0.5000 0.5000 0.8019
Pr2 0.0000 0.0000 0.8019
Pr3 0.7517 0.7483 0.8702
Pr4 0.2521 0.7521 0.9272
Pr5 0.0000 0.0000 0.3241
Pr6 0.2479 0.7479 0.0728
Pr7 0.7750 0.2750 0.5602
Pr8 0.5000 0.5000 0.3241
Pr9 0.2483 0.2517 0.8702
Pr10 0.7483 0.7517 0.1298
Pr11 0.2705 0.2295 0.5852
Pr12 0.7250 0.2250 0.4398
Pr13 0.0000 0.0000 0.6759
Pr14 0.2295 0.2705 0.4148
Pr15 0.2517 0.2483 0.1298
Pr16 0.7705 0.7295 0.4148
Pr17 0.7295 0.7705 0.5852
Pr18 0.0000 0.0000 0.1981
Pr19 0.2250 0.7250 0.5602
Pr20 0.5000 0.5000 0.6759
Pr21 0.7479 0.2479 0.9272
Pr22 0.5000 0.5000 0.1981
Pr23 0.2750 0.7750 0.4398
Pr24 0.7521 0.2521 0.0728
Dy1 0.5000 0.0000 0.2710
Dy2 0.0000 0.5000 0.2669
Dy3 0.0000 0.5000 0.7290
Dy4 0.5000 0.0000 0.7331
Er1 0.5000 0.0000 0.0009
Er2 0.0000 0.5000 0.9991

---

VASP calculation (PBE) on a relaxed structure of Li2Sn2Hg.

Properties
**Energy relative to the elements**: -0.20 eV/atom
**Relative energy among the computed polymorphs**: 0.056 eV/atom

Cell: 7.0008 7.0008 4.3607 Å, 90.00 90.00 90.00°
Atoms (fractional coordinates):
Li1 0.3590 0.8590 0.0000
Li2 0.8590 0.6410 0.0000
Li3 0.6410 0.1410 0.0000
Li4 0.1410 0.3590 0.0000
Hg1 0.0000 0.0000 0.0000
Hg2 0.5000 0.5000 0.0000
Sn1 0.1616 0.6616 0.5000
Sn2 0.6616 0.8384 0.5000
Sn3 0.8384 0.3384 0.5000
Sn4 0.3384 0.1616 0.5000

---

VASP calculation (PBE) on a relaxed structure of HfSbTe4.

Properties
**Energy relative to the elements, uncorrected**: -0.42 eV/atom

Cell: 3.9481 7.4439 13.8167 Å, 90.61 90.00 90.00°
Atoms (fractional coordinates):
Hf1 0.0000 0.0000 0.5000
Hf2 0.5000 0.5000 0.0000
Sb1 0.5000 0.5000 0.5000
Sb2 0.0000 0.0000 0.0000
Te1 0.5000 0.1606 0.3744
Te2 0.0000 0.3394 0.1256
Te3 0.5000 0.8394 0.6256
Te4 0.0000 0.6606 0.8744
Te5 0.9999 0.6886 0.3707
Te6 0.4999 0.8114 0.1293
Te7 0.0001 0.3114 0.6293
Te8 0.5001 0.1886 0.8707

---

Electronic total energy (computed, eV/atom): -4.977 -6.985 -3.422 -4.586 -2.623 -4.856
Calculated volume (computed, Å³/cell): 79 60 143 1072 214 406
Magnetic moment (computed, μB/atom): 0.17 0.00 0.00 0.00 0.00 0.00